(1)
FeMoAsPd | GGA-PBE | relaxed

Calculated values
The magnetization comes out at 0.4991 μB per atom. Its raw total energy is -7.15 eV per atom. The crystal system is cubic. The calculation puts the relative energy among the computed polymorphs at 0 meV/atom.

CIF file:
```
data_FeMoAsPd
_cell_length_a 6.139
_cell_length_b 6.139
_cell_length_c 6.139
_cell_angle_alpha 90.00
_cell_angle_beta 90.00
_cell_angle_gamma 90.00
_symmetry_space_group_name_H-M 'F -4 3 m'
_symmetry_Int_Tables_number 216
_symmetry_space_group_name_Hall 'F -4 2 3'
loop_
_atom_site_label
_atom_site_type_symbol
_atom_site_fract_x
_atom_site_fract_y
_atom_site_fract_z
_atom_site_occupancy
Fe1 Fe 0.000 0.000 0.000 1
Mo1 Mo 0.000 0.000 0.500 1
As1 As 0.250 0.250 0.750 1
Pd1 Pd 0.250 0.250 0.250 1
```

---

(2)
FeMoAsPt | GGA-PBE | relaxed

Calculated values
The magnetization comes out at 0.8953 μB per atom. Its raw total energy is -7.12 eV per atom. The crystal system is cubic. The calculation puts the relative energy among the computed polymorphs at 307 meV/atom.

CIF file:
```
data_FeMoAsPt
_cell_length_a 6.257
_cell_length_b 6.257
_cell_length_c 6.257
_cell_angle_alpha 90.00
_cell_angle_beta 90.00
_cell_angle_gamma 90.00
_symmetry_space_group_name_H-M 'F -4 3 m'
_symmetry_Int_Tables_number 216
_symmetry_space_group_name_Hall 'F -4 2 3'
loop_
_atom_site_label
_atom_site_type_symbol
_atom_site_fract_x
_atom_site_fract_y
_atom_site_fract_z
_atom_site_occupancy
Fe1 Fe 0.000 0.000 0.000 1
Mo1 Mo 0.250 0.250 0.250 1
As1 As 0.250 0.250 0.750 1
Pt1 Pt 0.000 0.000 0.500 1
```

---

(3)
FeMoAsPt | GGA-PBE | relaxed

Calculated values
The magnetization comes out at 0.4581 μB per atom. Its raw total energy is -7.42 eV per atom. The crystal system is cubic. The calculation puts the relative energy among the computed polymorphs at 0 meV/atom.

CIF file:
```
data_FeMoAsPt
_cell_length_a 6.179
_cell_length_b 6.179
_cell_length_c 6.179
_cell_angle_alpha 90.00
_cell_angle_beta 90.00
_cell_angle_gamma 90.00
_symmetry_space_group_name_H-M 'F -4 3 m'
_symmetry_Int_Tables_number 216
_symmetry_space_group_name_Hall 'F -4 2 3'
loop_
_atom_site_label
_atom_site_type_symbol
_atom_site_fract_x
_atom_site_fract_y
_atom_site_fract_z
_atom_site_occupancy
Fe1 Fe 0.000 0.000 0.000 1
Mo1 Mo 0.000 0.000 0.500 1
As1 As 0.250 0.250 0.750 1
Pt1 Pt 0.250 0.250 0.250 1
```

---

(4)
FeMoAsW | GGA-PBE | relaxed

Calculated values
The magnetization comes out at 0.1814 μB per atom. Its raw total energy is -8.85 eV per atom. The crystal system is cubic. The calculation puts the relative energy among the computed polymorphs at 0 meV/atom.

CIF file:
```
data_FeMoAsW
_cell_length_a 6.118
_cell_length_b 6.118
_cell_length_c 6.118
_cell_angle_alpha 90.00
_cell_angle_beta 90.00
_cell_angle_gamma 90.00
_symmetry_space_group_name_H-M 'F -4 3 m'
_symmetry_Int_Tables_number 216
_symmetry_space_group_name_Hall 'F -4 2 3'
loop_
_atom_site_label
_atom_site_type_symbol
_atom_site_fract_x
_atom_site_fract_y
_atom_site_fract_z
_atom_site_occupancy
Fe1 Fe 0.000 0.000 0.000 1
Mo1 Mo 0.000 0.000 0.500 1
As1 As 0.250 0.250 0.750 1
W1 W 0.250 0.250 0.250 1
```

---

(5)
YFeMoAs | GGA-PBE | relaxed

Calculated values
The magnetization comes out at 0.8681 μB per atom. Its raw total energy is -7.16 eV per atom. The crystal system is cubic. The calculation puts the relative energy among the computed polymorphs at 120 meV/atom.

CIF file:
```
data_YFeMoAs
_cell_length_a 6.559
_cell_length_b 6.559
_cell_length_c 6.559
_cell_angle_alpha 90.00
_cell_angle_beta 90.00
_cell_angle_gamma 90.00
_symmetry_space_group_name_H-M 'F -4 3 m'
_symmetry_Int_Tables_number 216
_symmetry_space_group_name_Hall 'F -4 2 3'
loop_
_atom_site_label
_atom_site_type_symbol
_atom_site_fract_x
_atom_site_fract_y
_atom_site_fract_z
_atom_site_occupancy
Y1 Y 0.000 0.000 0.000 1
Fe1 Fe 0.000 0.000 0.500 1
Mo1 Mo 0.250 0.250 0.750 1
As1 As 0.250 0.250 0.250 1
```

---

(6)
YFeMoAs | GGA-PBE | relaxed

Calculated values
The magnetization comes out at 0.4953 μB per atom. Its raw total energy is -7.28 eV per atom. The crystal system is cubic. The calculation puts the relative energy among the computed polymorphs at 0 meV/atom.

CIF file:
```
data_YFeMoAs
_cell_length_a 6.387
_cell_length_b 6.387
_cell_length_c 6.387
_cell_angle_alpha 90.00
_cell_angle_beta 90.00
_cell_angle_gamma 90.00
_symmetry_space_group_name_H-M 'F -4 3 m'
_symmetry_Int_Tables_number 216
_symmetry_space_group_name_Hall 'F -4 2 3'
loop_
_atom_site_label
_atom_site_type_symbol
_atom_site_fract_x
_atom_site_fract_y
_atom_site_fract_z
_atom_site_occupancy
Y1 Y 0.000 0.000 0.000 1
Fe1 Fe 0.250 0.250 0.750 1
Mo1 Mo 0.250 0.250 0.250 1
As1 As 0.000 0.000 0.500 1
```